Computed, not measured: crystalline Sm2TlPb4 at its relaxed geometry at the GGA-PBE level of DFT.

The structure in POSCAR format:
```
Sm2TlPb4
1.0
4.783 -4.782 0.000
4.783 4.782 0.000
-4.773 0.000 4.818
Sm Tl Pb
2 1 4
direct
0.000 0.500 0.000
0.500 0.000 0.000
0.000 0.000 0.500
0.000 0.000 0.000
0.000 0.500 0.500
0.500 0.000 0.500
0.500 0.500 0.000
```

Results
Calculated volume   31.48 A^3/atom
ΔE_f   -2.0 eV per formula unit
Symmetry   C2/m, No. 12



Computed, not measured: crystalline In5Hg12Pb at its relaxed geometry at the GGA-PBE level of DFT.

The structure in POSCAR format:
```
In5Hg12Pb
1.0
2.923 -5.386 0.000
2.923 5.386 0.000
-2.000 0.000 15.396
In Hg Pb
5 12 1
direct
0.000 0.000 0.000
0.170 0.830 0.500
0.332 0.668 0.000
0.668 0.332 0.000
0.830 0.170 0.500
0.004 0.673 0.832
0.060 0.060 0.331
0.259 0.598 0.672
0.327 0.996 0.168
0.342 0.342 0.834
0.402 0.741 0.328
0.598 0.259 0.672
0.658 0.658 0.166
0.673 0.004 0.832
0.741 0.402 0.328
0.940 0.940 0.669
0.996 0.327 0.168
0.500 0.500 0.500
```

Results
Calculated volume   26.93 A^3/atom
ΔE_f   0.2 eV per formula unit
Symmetry   C2/m, No. 12



Computed, not measured: crystalline Ce4GdO9 at its relaxed geometry at the GGA-PBE level of DFT.

The structure in POSCAR format:
```
Ce4GdO9
1.0
-1.907 9.823 2.767
1.907 -9.823 2.767
1.907 9.823 -2.767
Ce Gd O
4 1 9
direct
0.106 0.000 0.106
0.292 0.992 0.301
0.691 0.992 0.699
0.894 0.000 0.894
0.441 0.941 0.500
0.040 0.243 0.797
0.135 0.740 0.395
0.223 0.223 0.000
0.345 0.740 0.605
0.445 0.243 0.203
0.548 0.745 0.803
0.662 0.246 0.416
0.829 0.246 0.584
0.941 0.745 0.197
```

Results
Calculated volume   14.81 A^3/atom
Symmetry   Imm2, No. 44
Raw formation energy   -3.45 eV/atom



Computed, not measured: crystalline Cs5TlF6 at its relaxed geometry at the GGA-PBE level of DFT.

The structure in POSCAR format:
```
Cs5TlF6
1.0
3.700 -6.409 0.000
3.700 6.409 0.000
-2.465 0.000 6.964
Cs Tl F
5 1 6
direct
0.000 0.000 0.000
0.167 0.833 0.500
0.335 0.665 0.000
0.665 0.335 0.000
0.833 0.167 0.500
0.500 0.500 0.500
0.099 0.419 0.256
0.261 0.261 0.743
0.419 0.099 0.256
0.581 0.901 0.744
0.739 0.739 0.257
0.901 0.581 0.744
```

Results
Calculated volume   27.53 A^3/atom
Symmetry   C2/m, No. 12
Raw formation energy   -2.49 eV/atom



Computed, not measured: crystalline Sc8Sn2Au at its relaxed geometry at the GGA-PBE level of DFT.

The structure in POSCAR format:
```
Sc8Sn2Au
1.0
9.064 -2.366 0.000
9.064 2.366 0.000
-1.614 0.000 6.025
Sc Sn Au
8 2 1
direct
0.018 0.018 0.272
0.220 0.220 0.821
0.348 0.348 0.494
0.408 0.408 0.027
0.592 0.592 0.973
0.652 0.652 0.506
0.780 0.780 0.179
0.982 0.982 0.728
0.179 0.179 0.254
0.821 0.821 0.746
0.500 0.500 0.500
```

Results
Calculated volume   23.49 A^3/atom
ΔE_f   -4.3 eV per formula unit
Symmetry   C2/m, No. 12



Computed, not measured: crystalline TbPr2Tm4Sc at its relaxed geometry at the GGA-PBE level of DFT.

The structure in POSCAR format:
```
TbPr2Tm4Sc
1.0
-3.364 5.847 6.537
3.364 -5.847 6.537
3.364 5.847 -6.537
Tb Pr Tm Sc
2 4 8 2
direct
0.000 0.000 0.000
0.500 0.000 0.500
0.000 0.500 0.500
0.500 0.000 0.000
0.500 0.500 0.000
0.500 0.500 0.500
0.232 0.249 0.983
0.233 0.751 0.483
0.236 0.235 0.500
0.236 0.736 0.000
0.764 0.264 0.000
0.764 0.765 0.500
0.767 0.249 0.517
0.768 0.751 0.017
0.000 0.000 0.500
0.000 0.500 0.000
```

Results
Calculated volume   32.15 A^3/atom
ΔE_f   3.4 eV per formula unit
Symmetry   Imma, No. 74



Computed, not measured: crystalline Lu2Te3 at its relaxed geometry at the GGA-PBE level of DFT.

The structure in POSCAR format:
```
Lu2Te3
1.0
7.872 0.000 0.000
0.000 11.079 0.000
0.000 0.000 7.235
Lu Te
8 12
direct
0.000 0.000 0.000
0.000 0.500 0.000
0.122 0.250 0.446
0.378 0.750 0.946
0.500 0.000 0.500
0.500 0.500 0.500
0.622 0.250 0.054
0.878 0.750 0.554
0.051 0.750 0.165
0.174 0.582 0.664
0.174 0.918 0.664
0.326 0.082 0.164
0.326 0.418 0.164
0.449 0.250 0.665
0.551 0.750 0.335
0.674 0.582 0.836
0.674 0.918 0.836
0.826 0.082 0.336
0.826 0.418 0.336
0.949 0.250 0.835
```

Results
Calculated volume   31.55 A^3/atom
Symmetry   Pnma, No. 62
Raw formation energy   -1.26 eV/atom



Computed, not measured: crystalline CrSiIr at its relaxed geometry at the GGA-PBE level of DFT.

The structure in POSCAR format:
```
CrSiIr
1.0
-1.367 1.855 3.828
1.367 -1.855 3.828
1.367 1.855 -3.828
Cr Si Ir
1 1 1
direct
0.000 0.000 0.000
0.337 0.337 0.000
0.669 0.669 0.000
```

Results
Calculated volume   12.94 A^3/atom
Symmetry   Imm2, No. 44
Raw formation energy   -0.20 eV/atom



Computed, not measured: crystalline LiZn2Se at its relaxed geometry at the GGA-PBE level of DFT.

The structure in POSCAR format:
```
LiZn2Se
1.0
2.831 0.000 0.000
0.000 4.139 0.000
-1.357 0.000 6.186
Li Zn Se
1 2 1
direct
0.000 0.000 0.000
0.333 0.500 0.653
0.774 0.000 0.534
0.544 0.500 0.092
```

Results
Offset from the most stable computed form   0.0758 eV per atom
Calculated volume   18.12 A^3/atom
Symmetry   Pm, No. 6
Raw formation energy   -0.33 eV/atom



Computed, not measured: crystalline CsInO2 at its relaxed geometry at the GGA-PBE level of DFT.

The structure in POSCAR format:
```
CsInO2
1.0
3.090 0.000 0.000
0.000 3.090 0.000
0.000 0.000 7.004
Cs In O
1 1 2
direct
0.000 0.000 0.000
0.000 0.000 0.500
0.500 0.500 0.317
0.500 0.500 0.683
```

Results
Calculated volume   16.72 A^3/atom
Symmetry   P4/mmm, No. 123
Raw formation energy   -0.74 eV/atom



Computed, not measured: crystalline K2H6S at its relaxed geometry at the GGA-PBE level of DFT.

The structure in POSCAR format:
```
K2H6S
1.0
0.000 4.153 4.153
4.153 0.000 4.153
4.153 4.153 0.000
K H S
2 6 1
direct
0.250 0.250 0.250
0.750 0.750 0.750
0.196 0.196 0.804
0.196 0.804 0.196
0.196 0.804 0.804
0.804 0.196 0.196
0.804 0.196 0.804
0.804 0.804 0.196
0.000 0.000 0.000
```

Results
Calculated volume   15.91 A^3/atom
Symmetry   Fm-3m, No. 225



Computed, not measured: crystalline BaSc2RhPb at its relaxed geometry at the GGA-PBE level of DFT.

The structure in POSCAR format:
```
BaSc2RhPb
1.0
5.159 0.000 0.000
0.000 5.159 0.000
0.000 0.000 5.405
Ba Sc Rh Pb
1 2 1 1
direct
0.000 0.000 0.000
0.000 0.500 0.500
0.500 0.000 0.500
0.500 0.500 0.500
0.500 0.500 0.000
```

Results
Calculated volume   28.77 A^3/atom
ΔE_f   -1.2 eV per formula unit
Symmetry   P4/mmm, No. 123



Computed, not measured: crystalline KMn at its relaxed geometry at the GGA-PBE level of DFT.

The structure in POSCAR format:
```
KMn
1.0
10.705 0.000 0.000
0.000 3.065 0.000
0.000 0.000 7.911
K Mn
4 4
direct
0.193 0.250 0.018
0.307 0.750 0.518
0.693 0.250 0.482
0.807 0.750 0.982
0.002 0.250 0.632
0.498 0.750 0.132
0.502 0.250 0.868
0.998 0.750 0.368
```

Results
Offset from the most stable computed form   0.1868 eV per atom
Calculated volume   32.44 A^3/atom
ΔE_f   1.9 eV per formula unit
Symmetry   Pnma, No. 62



Computed, not measured: crystalline CaMg3 at its relaxed geometry at the GGA-PBE level of DFT.

The structure in POSCAR format:
```
CaMg3
1.0
5.419 0.000 0.000
-2.709 4.693 0.000
0.000 0.000 9.543
Ca Mg
2 6
direct
0.333 0.667 0.250
0.667 0.333 0.750
0.000 0.000 0.250
0.000 0.000 0.750
0.333 0.667 0.592
0.333 0.667 0.908
0.667 0.333 0.092
0.667 0.333 0.408
```

Results
Calculated volume   30.34 A^3/atom
ΔE_f   0.8 eV per formula unit
Symmetry   P6_3/mmc, No. 194



Computed, not measured: crystalline CsHgAs at its relaxed geometry at the GGA-PBE level of DFT.

The structure in POSCAR format:
```
CsHgAs
1.0
7.110 -2.336 0.000
7.110 2.336 0.000
-4.938 0.000 6.793
Cs Hg As
2 2 2
direct
0.000 0.000 0.000
0.500 0.500 0.500
0.235 0.235 0.595
0.765 0.765 0.405
0.272 0.272 0.960
0.728 0.728 0.040
```

Results
Calculated volume   37.60 A^3/atom
ΔE_f   -0.9 eV per formula unit
Symmetry   C2/m, No. 12



Computed, not measured: crystalline La3CdIr at its relaxed geometry at the GGA-PBE level of DFT.

The structure in POSCAR format:
```
La3CdIr
1.0
5.849 0.000 0.000
-2.907 6.407 0.000
-0.016 -3.534 8.493
La Cd Ir
6 2 2
direct
0.107 0.214 0.229
0.161 0.321 0.645
0.376 0.752 0.092
0.624 0.248 0.908
0.839 0.679 0.355
0.893 0.786 0.771
0.396 0.793 0.542
0.604 0.207 0.458
0.132 0.264 0.932
0.868 0.736 0.068
```

Results
Offset from the most stable computed form   0.0097 eV per atom
Calculated volume   31.82 A^3/atom
ΔE_f   -2.4 eV per formula unit
Symmetry   P-1, No. 2



Computed, not measured: crystalline TaNb6N at its relaxed geometry at the GGA-PBE level of DFT.

The structure in POSCAR format:
```
TaNb6N
1.0
5.835 0.000 0.000
-2.906 5.061 0.000
-2.902 -1.675 4.802
Ta Nb N
1 6 1
direct
0.000 0.000 0.000
0.200 0.519 0.267
0.249 0.319 0.733
0.413 0.930 0.733
0.587 0.070 0.267
0.751 0.681 0.267
0.800 0.481 0.733
0.000 0.500 0.500
```

Results
Calculated volume   17.72 A^3/atom
Symmetry   P-1, No. 2
Raw formation energy   0.09 eV/atom



Computed, not measured: crystalline Dy2Ni12P3Au at its relaxed geometry at the GGA-PBE level of DFT.

The structure in POSCAR format:
```
Dy2Ni12P3Au
1.0
4.289 2.476 3.880
-4.289 2.476 3.880
0.000 -4.952 3.880
Dy Ni P Au
2 12 3 1
direct
0.200 0.200 0.200
0.800 0.800 0.800
0.106 0.106 0.626
0.106 0.626 0.106
0.182 0.687 0.687
0.313 0.313 0.818
0.313 0.818 0.313
0.374 0.894 0.894
0.626 0.106 0.106
0.687 0.182 0.687
0.687 0.687 0.182
0.818 0.313 0.313
0.894 0.374 0.894
0.894 0.894 0.374
0.000 0.500 0.500
0.500 0.000 0.500
0.500 0.500 0.000
0.500 0.500 0.500
```

Results
Calculated volume   13.73 A^3/atom
ΔE_f   -1.8 eV per formula unit
Symmetry   R-3m, No. 166



Computed, not measured: crystalline BaGaPS2 at its relaxed geometry at the GGA-PBE level of DFT.

The structure in POSCAR format:
```
BaGaPS2
1.0
5.040 0.000 0.000
0.000 5.040 0.000
0.000 0.000 4.683
Ba Ga P S
1 1 1 2
direct
0.000 0.000 0.000
0.500 0.500 0.500
0.500 0.500 0.000
0.000 0.500 0.500
0.500 0.000 0.500
```

Results
Offset from the most stable computed form   0.0000 eV per atom
Calculated volume   23.79 A^3/atom
Symmetry   P4/mmm, No. 123
Raw formation energy   -0.56 eV/atom



Computed, not measured: crystalline AgRhAu2 at its relaxed geometry at the GGA-PBE level of DFT.

The structure in POSCAR format:
```
AgRhAu2
1.0
-1.423 2.444 4.930
1.423 -2.444 4.930
1.423 2.444 -4.930
Ag Rh Au
1 1 2
direct
0.000 0.000 0.000
0.248 0.748 0.500
0.490 0.490 0.000
0.744 0.244 0.500
```

Results
Offset from the most stable computed form   0.0654 eV per atom
Calculated volume   17.15 A^3/atom
ΔE_f   0.6 eV per formula unit
Symmetry   Imm2, No. 44



Taking the records one at a time from the top gives energy values of -4.09, -1.16, -9.34, -3.98, -6.03, -4.38, -4.95, -8.17, -2.32, -4.12, -2.71, -5.37, -4.20, -1.51, -2.22, -5.39, -9.98, -5.55, -4.28, -4.04 eV/atom.